Material: Cs2MnGeCl6
Method: DFT, GGA-PBE
State: relaxed

Computed properties:
Uncorrected energy = -162.33 eV for the cell shown
ΔE_f (raw) = -1.40 eV per atom

Unit cell a=10.4915 b=10.4915 c=10.4915 alpha=90.00 beta=90.00 gamma=90.00
Space group Fm-3m (No. 225)
One atom of each set of equivalent atoms:
Cs 0.2500 0.2500 0.2500
Mn 0.0000 0.0000 0.0000
Ge 0.0000 0.0000 0.5000
Cl 0.0000 0.0000 0.2432